A plane-wave DFT calculation with PBE-GGA was carried out for a geometry-optimized Rb4CaU3S12 structure.

POSCAR file:
```
Rb4CaU3S12
1.0
9.061 0.000 0.000
-3.020 8.543 0.000
-3.020 -4.272 7.399
S Rb U Ca
12 4 3 1
Cartesian
-1.510 4.272 3.699
4.436 -3.137 5.433
-1.510 1.068 5.549
1.605 -1.135 1.966
1.510 5.339 1.850
4.436 6.273 0.000
-1.605 1.135 1.966
4.531 3.204 1.850
4.531 0.000 3.699
1.510 -1.068 5.549
1.605 2.270 0.000
-4.436 3.137 5.433
-1.510 -2.136 3.699
4.531 0.000 0.000
1.510 2.136 3.699
-1.510 4.272 0.000
3.020 -2.136 3.699
-3.020 2.136 3.699
3.020 4.272 0.000
0.000 0.000 0.000
```

Computed properties:
**Space group**: No. 229
**E_form (uncorrected)**: -1.336 eV/atom